A plane-wave DFT calculation with GGA-PBE was carried out for a relaxed SnBi6Pb5 crystal.

Summary:
* space-group type: C2/m

Cell lengths 4.486, 9.932, 9.932 Å; angles 110.34, 103.35, 103.35 degrees
Fractional coordinates of all 12 atoms:
Pb1 0.500 0.159 0.841
Pb2 0.000 0.336 0.664
Pb3 0.500 0.500 0.500
Pb4 0.000 0.664 0.336
Pb5 0.500 0.841 0.159
Sn1 0.000 0.000 0.000
Bi1 0.251 0.081 0.422
Bi2 0.749 0.578 0.919
Bi3 0.744 0.244 0.244
Bi4 0.256 0.756 0.756
Bi5 0.251 0.422 0.081
Bi6 0.749 0.919 0.578

A plane-wave DFT calculation with GGA-PBE was carried out for a relaxed TmAs3Pd3 crystal.

Summary:
* space-group type: Pm-3n

Cell lengths 6.820, 6.820, 6.820 Å; angles 90.00, 90.00, 90.00 degrees
Fractional coordinates of all 14 atoms:
As1 0.000 0.250 0.500
As2 0.000 0.750 0.500
As3 0.500 0.000 0.750
As4 0.750 0.500 0.000
As5 0.500 0.000 0.250
As6 0.250 0.500 0.000
Tm1 0.500 0.500 0.500
Tm2 0.000 0.000 0.000
Pd1 0.250 0.000 0.500
Pd2 0.000 0.500 0.250
Pd3 0.500 0.750 0.000
Pd4 0.750 0.000 0.500
Pd5 0.000 0.500 0.750
Pd6 0.500 0.250 0.000

A plane-wave DFT calculation with GGA-PBE was carried out for a relaxed Li2Ni2Pt crystal.

Summary:
* space-group type: P4/mbm
* distance to the lowest polymorph of the same formula: 0.028 eV per atom

Cell lengths 6.599, 6.599, 2.801 Å; angles 90.00, 90.00, 90.00 degrees
Last column: magnetic moment on the atom in μB.
Fractional coordinates of all 10 atoms:
Ni1 0.375 0.875 0.000  0.36
Ni2 0.875 0.625 0.000  0.33
Ni3 0.625 0.125 0.000  0.36
Ni4 0.125 0.375 0.000  0.33
Pt1 0.000 0.000 0.000  0.08
Pt2 0.500 0.500 0.000  0.08
Li1 0.175 0.675 0.500  -0.01
Li2 0.675 0.825 0.500  -0.01
Li3 0.825 0.325 0.500  -0.01
Li4 0.325 0.175 0.500  -0.01

no.,spin magnetization (μB/f.u.),ΔE_f (eV/atom)
1,0.0,0.0563
2,0.0,-0.1489
3,0.7,-0.0043